No. 1
A relaxed Fe4SbPb crystal. Source: Alexandria, functional PBE.

```
6
Lattice="0.000 3.649 3.649 3.649 0.000 3.649 3.649 3.649 0.000" Properties=species:S:1:pos:R:3 pbc="T T T"
Fe 0.912 0.912 0.912
Fe 2.737 2.737 0.912
Fe 2.737 0.912 2.737
Fe 0.912 2.737 2.737
Sb 3.649 3.649 3.649
Pb 5.473 5.473 5.473
```

calculated total energy = -6.62 eV per atom

---

No. 2
A relaxed SrPrB12 crystal. Source: Alexandria, functional PBE.

```
14
Lattice="0.000 4.167 4.167 4.167 0.000 4.167 4.167 4.167 0.000" Properties=species:S:1:pos:R:3 pbc="T T T"
Sr 0.000 0.000 0.000
Pr 4.167 4.167 4.167
B 2.084 2.084 0.838
B 2.084 0.838 2.084
B 3.329 2.084 2.084
B 0.838 2.084 2.084
B 2.084 3.329 2.084
B 2.084 2.084 3.329
B 6.251 6.251 5.005
B 6.251 5.005 6.251
B 7.497 6.251 6.251
B 5.005 6.251 6.251
B 6.251 7.497 6.251
B 6.251 6.251 7.497
```

calculated total energy = -6.66 eV per atom
ΔE_f = -0.473 eV/atom

---

No. 3
A relaxed LaBe crystal. Source: Alexandria, functional PBE.

```
4
Lattice="5.008 0.000 0.000 -2.504 4.337 0.000 0.000 0.000 4.144" Properties=species:S:1:pos:R:3 pbc="T T T"
La 0.000 2.891 1.036
La 2.504 1.446 3.108
Be 0.000 0.000 1.036
Be 0.000 0.000 3.108
```

E above lowest polymorph = 0.00 eV/f.u.
calculated total energy = -4.29 eV per atom
ΔE_f = 0.040 eV/atom

---

No. 4
A relaxed La6PS2I3 crystal. Source: Alexandria, functional PBE.

```
12
Lattice="3.657 -6.336 0.000 3.657 6.336 0.000 -2.440 0.000 7.871" Properties=species:S:1:pos:R:3 pbc="T T T"
La -0.003 2.114 6.344
La 1.215 0.000 1.522
La -0.003 -2.114 6.344
La 4.877 2.114 1.527
La 3.659 0.000 6.349
La 4.877 -2.114 1.527
P 3.657 0.000 0.000
S 3.657 4.221 0.000
S 3.657 -4.221 0.000
I -1.220 0.000 3.935
I 2.437 2.096 3.935
I 2.437 -2.096 3.935
```

calculated total energy = -5.55 eV per atom

---

No. 5
A relaxed Tl5Hg crystal. Source: Alexandria, functional PBE.

```
12
Lattice="13.017 0.000 0.000 0.000 3.637 0.000 -2.042 0.000 7.691" Properties=species:S:1:pos:R:3 pbc="T T T"
Tl 0.000 0.000 0.000
Tl -0.524 0.000 4.599
Tl 0.969 1.818 7.234
Tl 2.930 0.000 5.028
Tl 4.429 0.000 2.078
Tl 6.508 1.818 0.000
Tl 5.985 1.818 4.599
Tl 7.477 0.000 7.234
Tl 9.439 1.818 5.028
Tl 10.937 1.818 2.078
Hg 1.439 1.818 2.496
Hg 7.947 0.000 2.496
```

E above lowest polymorph = 0.03 eV/f.u.
calculated total energy = -2.01 eV per atom
ΔE_f = 0.007 eV/atom

---

No. 6
A relaxed CuReTcO2 crystal. Source: Alexandria, functional PBE.

```
5
Lattice="3.614 0.000 0.000 0.000 3.614 0.000 0.000 0.000 5.092" Properties=species:S:1:pos:R:3 pbc="T T T"
Cu 0.000 0.000 0.000
Re 1.807 1.807 2.546
Tc 0.000 0.000 2.546
O 0.000 1.807 0.000
O 1.807 0.000 0.000
```

calculated total energy = -6.32 eV per atom

---

No. 7
A relaxed K3Pm2NdSe6 crystal. Source: Alexandria, functional PBE.

```
12
Lattice="3.750 -6.495 0.000 3.750 6.495 0.000 -2.500 0.000 7.704" Properties=species:S:1:pos:R:3 pbc="T T T"
K 0.000 0.000 0.000
K 3.750 2.164 0.000
K 3.750 -2.164 0.000
Pm 2.500 4.330 3.852
Pm 2.500 -4.330 3.852
Nd 2.500 0.000 3.852
Se 1.243 2.176 2.232
Se -0.013 0.000 5.472
Se 1.243 -2.176 2.232
Se 3.756 2.176 5.472
Se 5.012 0.000 2.232
Se 3.756 -2.176 5.472
```

calculated total energy = -4.96 eV per atom

---

No. 8
A relaxed AgAs2Os crystal. Source: Alexandria, functional PBE.

```
16
Lattice="6.397 0.000 0.000 0.000 6.397 0.000 0.000 0.000 6.397" Properties=species:S:1:pos:R:3 pbc="T T T"
Ag 0.000 0.000 0.000
Ag 0.000 3.199 3.199
Ag 3.199 0.000 3.199
Ag 3.199 3.199 0.000
As 1.599 1.599 1.599
As 1.599 1.599 4.798
As 1.599 4.798 1.599
As 1.599 4.798 4.798
As 4.798 1.599 1.599
As 4.798 1.599 4.798
As 4.798 4.798 1.599
As 4.798 4.798 4.798
Os 0.000 0.000 3.199
Os 0.000 3.199 0.000
Os 3.199 0.000 0.000
Os 3.199 3.199 3.199
```

E above lowest polymorph = 1.19 eV/f.u.
calculated total energy = -5.36 eV per atom
ΔE_f = 0.481 eV/atom